A plane-wave DFT calculation with GGA-PBE was carried out for an optimized crystal structure of Tb4AgHg2.

Energy of formation from the pure elements (eV per atom): -0.27
D(E_F) (states/eV per atom): 1.05

Unit cell a=8.946 b=8.946 c=8.946 alpha=33.63 beta=33.63 gamma=33.63
Element x y z (fractional)
Tb1 0.123 0.123 0.123
Tb2 0.374 0.374 0.374
Tb3 0.626 0.626 0.626
Tb4 0.877 0.877 0.877
Ag1 0.500 0.500 0.500
Hg1 0.252 0.252 0.252
Hg2 0.748 0.748 0.748

A plane-wave DFT calculation with GGA-PBE was carried out for an optimized crystal structure of Tb2Ag4Hg3.

Energy of formation from the pure elements (eV per atom): -0.14
D(E_F) (states/eV per atom): 0.62

Unit cell a=8.946 b=8.946 c=8.219 alpha=90.00 beta=90.00 gamma=141.40
Element x y z (fractional)
Tb1 0.098 0.902 0.895
Tb2 0.402 0.598 0.395
Tb3 0.598 0.402 0.605
Tb4 0.902 0.098 0.105
Ag1 0.166 0.834 0.513
Ag2 0.179 0.321 0.750
Ag3 0.321 0.179 0.250
Ag4 0.334 0.666 0.013
Ag5 0.666 0.334 0.987
Ag6 0.679 0.821 0.750
Ag7 0.821 0.679 0.250
Ag8 0.834 0.166 0.487
Hg1 0.000 0.000 0.500
Hg2 0.007 0.493 0.750
Hg3 0.493 0.007 0.250
Hg4 0.500 0.500 0.000
Hg5 0.507 0.993 0.750
Hg6 0.993 0.507 0.250

A plane-wave DFT calculation with GGA-PBE was carried out for an optimized crystal structure of TbAgHg3.

Energy of formation from the pure elements (eV per atom): -0.25
D(E_F) (states/eV per atom): 0.49

Unit cell a=5.089 b=5.112 c=9.191 alpha=90.00 beta=105.88 gamma=90.00
Element x y z (fractional)
Tb1 0.150 0.250 0.303
Tb2 0.850 0.750 0.697
Ag1 0.343 0.250 0.687
Ag2 0.657 0.750 0.313
Hg1 0.050 0.750 0.101
Hg2 0.249 0.750 0.498
Hg3 0.449 0.750 0.895
Hg4 0.551 0.250 0.105
Hg5 0.751 0.250 0.502
Hg6 0.950 0.250 0.899

A plane-wave DFT calculation with GGA-PBE was carried out for an optimized crystal structure of Tb3Ag2Hg.

Energy of formation from the pure elements (eV per atom): -0.37
D(E_F) (states/eV per atom): 0.63

Unit cell a=5.206 b=5.206 c=6.361 alpha=90.00 beta=90.00 gamma=120.00
Element x y z (fractional)
Tb1 0.000 0.000 0.000
Tb2 0.333 0.667 0.673
Tb3 0.667 0.333 0.327
Ag1 0.333 0.667 0.171
Ag2 0.667 0.333 0.829
Hg1 0.000 0.000 0.500

> Which value of D(E_F) does entry 1 give?

1.05 states/eV per atom

> Which value of energy of formation from the pure elements does entry 2 give?

-0.14 eV per atom

What did the fourth record say?
A plane-wave DFT calculation with GGA-PBE was carried out for an optimized crystal structure of Tb3Ag2Hg.

Energy of formation from the pure elements (eV per atom): -0.37
D(E_F) (states/eV per atom): 0.63

Unit cell a=5.206 b=5.206 c=6.361 alpha=90.00 beta=90.00 gamma=120.00
Element x y z (fractional)
Tb1 0.000 0.000 0.000
Tb2 0.333 0.667 0.673
Tb3 0.667 0.333 0.327
Ag1 0.333 0.667 0.171
Ag2 0.667 0.333 0.829
Hg1 0.000 0.000 0.500